No. 1
Pm2Sm3Dy6Sc | PBE | relaxed

Summary:
calculated formation energy: 0.02 eV/atom

abc: 6.1618 6.1618 11.7980
angles: 94.98 94.98 119.99
With the nearest neighbours (Å) after each atom.
Positions (direct):
Dy: 0.5877 0.9179 0.7526  1 Sc 3.52, 6 Dy 3.52-3.57, 2 Pm 3.54, 3 Sm 3.57-3.59
Dy: 0.4123 0.0821 0.2474  1 Sc 3.52, 6 Dy 3.52-3.57, 2 Pm 3.54, 3 Sm 3.57-3.59
Dy: 0.9179 0.5877 0.7526  1 Sc 3.52, 6 Dy 3.52-3.57, 2 Pm 3.54, 3 Sm 3.57-3.59
Dy: 0.7518 0.7518 0.2480  6 Dy 3.53-3.57, 1 Sc 3.53, 2 Pm 3.54, 3 Sm 3.57-3.58
Dy: 0.0821 0.4123 0.2474  1 Sc 3.52, 6 Dy 3.52-3.57, 2 Pm 3.54, 3 Sm 3.57-3.59
Dy: 0.2482 0.2482 0.7520  6 Dy 3.53-3.57, 1 Sc 3.53, 2 Pm 3.54, 3 Sm 3.57-3.58
Pm: 0.3338 0.6662 0.0000  6 Dy 3.54, 3 Pm 3.55-3.56, 3 Sc 3.56
Pm: 0.6662 0.3338 0.0000  6 Dy 3.54, 3 Pm 3.55-3.56, 3 Sc 3.56
Sc: 0.0000 0.0000 0.0000  6 Dy 3.52-3.53, 6 Pm 3.56
Sm: 0.8335 0.1665 0.5000  6 Sm 3.55-3.56, 6 Dy 3.57-3.59
Sm: 0.5000 0.5000 0.5000  6 Sm 3.56, 6 Dy 3.58
Sm: 0.1665 0.8335 0.5000  6 Sm 3.55-3.56, 6 Dy 3.57-3.59

No. 2
Pm6GaCu5 | PBE | relaxed

Summary:
calculated formation energy: -0.23 eV/atom

abc: 5.0562 7.2096 7.9958
angles: 90.00 108.27 90.00
With the nearest neighbours (Å) after each atom.
Positions (direct):
Pm: 0.1689 0.7493 0.3380  7 Cu 3.08-3.17, 1 Ga 3.14
Pm: 0.8311 0.7493 0.6620  7 Cu 3.08-3.17, 1 Ga 3.14
Pm: 0.5000 0.7432 0.0000  6 Cu 3.05-3.08, 2 Ga 3.13
Pm: 0.1689 0.2507 0.3380  7 Cu 3.08-3.17, 1 Ga 3.14
Pm: 0.8311 0.2507 0.6620  7 Cu 3.08-3.17, 1 Ga 3.14
Pm: 0.5000 0.2568 0.0000  6 Cu 3.05-3.08, 2 Ga 3.13
Cu: 0.6591 0.0000 0.3187  8 Pm 3.05-3.17
Cu: 0.6662 0.5000 0.3328  8 Pm 3.08-3.10
Cu: 0.3338 0.5000 0.6672  8 Pm 3.08-3.10
Cu: 0.0000 0.5000 0.0000  8 Pm 3.08-3.13
Cu: 0.3409 0.0000 0.6813  8 Pm 3.05-3.17
Ga: 0.0000 0.0000 0.0000  8 Pm 3.13-3.14, 4 Cu 3.50

No. 3
MgTiCu2 | PBE | relaxed

Summary:
calculated formation energy: -0.04 eV/atom

abc: 2.9126 4.5303 4.5303
angles: 90.00 90.00 90.00
With the nearest neighbours (Å) after each atom.
Positions (direct):
Cu: 0.0000 0.5000 0.0000  4 Mg 2.69, 4 Ti 2.69, 2 Cu 2.91
Cu: 0.0000 0.0000 0.5000  4 Mg 2.69, 4 Ti 2.69, 2 Cu 2.91
Mg: 0.5000 0.5000 0.5000  8 Cu 2.69, 2 Mg 2.91
Ti: 0.5000 0.0000 0.0000  8 Cu 2.69, 2 Ti 2.91

No. 4
BaBe2Si | PBE | relaxed

Summary:
raw formation energy: 0.45 eV/atom

abc: 3.0726 3.3391 7.2228
angles: 90.00 90.00 90.02
With the nearest neighbours (Å) after each atom.
Positions (direct):
Be: 0.0000 0.0000 0.1022  1 Si 2.21, 4 Be 2.46
Be: 0.5000 0.5000 0.2337  4 Be 2.46, 4 Si 2.59-2.60
Ba: 0.5000 0.5000 0.7560  4 Ba 3.07-3.34, 4 Be 3.38, 4 Si 3.38-3.39
Si: 0.0000 0.0000 0.4082  1 Be 2.21

No. 5
ZrAlSi | PBE | relaxed

Summary:
raw formation energy: -0.55 eV/atom

abc: 3.9229 3.9229 13.4309
angles: 90.00 90.00 90.00
With the nearest neighbours (Å) after each atom.
Positions (direct):
Al: 0.0000 0.5000 0.5000  4 Si 2.67, 4 Al 2.77, 4 Zr 2.96
Al: 0.0000 0.5000 0.0000  4 Si 2.67, 4 Al 2.77, 4 Zr 2.96
Al: 0.5000 0.0000 0.0000  4 Si 2.67, 4 Al 2.77, 4 Zr 2.96
Al: 0.5000 0.0000 0.5000  4 Si 2.67, 4 Al 2.77, 4 Zr 2.96
Si: 0.0000 0.0000 0.8651  4 Al 2.67, 5 Zr 2.69-2.80
Si: 0.0000 0.0000 0.1349  4 Al 2.67, 5 Zr 2.69-2.80
Si: 0.5000 0.5000 0.3651  4 Al 2.67, 5 Zr 2.69-2.80
Si: 0.5000 0.5000 0.6349  4 Al 2.67, 5 Zr 2.69-2.80
Zr: 0.0000 0.0000 0.6649  5 Si 2.69-2.80, 4 Al 2.96
Zr: 0.5000 0.5000 0.1649  5 Si 2.69-2.80, 4 Al 2.96
Zr: 0.0000 0.0000 0.3351  5 Si 2.69-2.80, 4 Al 2.96
Zr: 0.5000 0.5000 0.8351  5 Si 2.69-2.80, 4 Al 2.96

No. 6
Ba5SrCa2 | PBE | relaxed

Summary:
energy above the most stable polymorph in this dataset: 41.2 meV per atom
calculated formation energy: 0.08 eV/atom

abc: 6.7536 8.0455 18.9172
angles: 90.00 90.00 114.82
With the nearest neighbours (Å) after each atom.
Positions (direct):
Ba: 0.3604 0.7208 0.0355  3 Ca 4.08-4.12, 4 Ba 4.29-4.34, 1 Sr 4.31
Ba: 0.4589 0.9178 0.7500  1 Sr 4.10, 2 Ca 4.22, 4 Ba 4.48
Ba: 0.6396 0.2792 0.5355  3 Ca 4.08-4.12, 4 Ba 4.29-4.34, 1 Sr 4.31
Ba: 0.6396 0.2792 0.9645  3 Ca 4.08-4.12, 4 Ba 4.29-4.34, 1 Sr 4.31
Ba: 0.3604 0.7208 0.4645  3 Ca 4.08-4.12, 4 Ba 4.29-4.34, 1 Sr 4.31
Ba: 0.9261 0.8522 0.9038  1 Sr 3.98, 1 Ca 4.16, 4 Ba 4.23-4.34
Ba: 0.0739 0.1478 0.0962  1 Sr 3.98, 1 Ca 4.16, 4 Ba 4.23-4.34
Ba: 0.0739 0.1478 0.4038  1 Sr 3.98, 1 Ca 4.16, 4 Ba 4.23-4.34
Ba: 0.9261 0.8522 0.5962  1 Sr 3.98, 1 Ca 4.16, 4 Ba 4.23-4.34
Ba: 0.5411 0.0822 0.2500  1 Sr 4.10, 2 Ca 4.22, 4 Ba 4.48
Ca: 0.2036 0.4072 0.8544  2 Sr 3.95, 1 Ca 3.95, 5 Ba 4.08-4.22
Ca: 0.2036 0.4072 0.6456  2 Sr 3.95, 1 Ca 3.95, 5 Ba 4.08-4.22
Ca: 0.7964 0.5928 0.3544  2 Sr 3.95, 1 Ca 3.95, 5 Ba 4.08-4.22
Ca: 0.7964 0.5928 0.1456  2 Sr 3.95, 1 Ca 3.95, 5 Ba 4.08-4.22
Sr: 0.7400 0.4800 0.7500  4 Ca 3.95, 5 Ba 3.98-4.31
Sr: 0.2600 0.5200 0.2500  4 Ca 3.95, 5 Ba 3.98-4.31